NiMo2OsO: relaxed, GGA+U.

Geometry as POSCAR:
```
NiMo2OsO
1.0
-0.3614 -3.9014 -2.9888
2.8874 1.7454 -2.6274
3.6169 -2.2402 2.4868
Mo Ni Os O
2 1 1 1
Cartesian
-0.1807 -1.9507 -1.4944
1.8085 -1.1201 1.2434
0.0000 0.0000 0.0000
1.4437 0.8727 -1.3137
3.0715 -2.1981 -1.5647
```

The space group is P4/mmm. For the energy, the calculation gives -4.340 eV per atom.